[1]
Material: Ba2TlPb
Method: DFT, PBE
State: relaxed

Structure (POSCAR):
```
Ba2TlPb
1.0
5.025 0.000 0.000
0.000 7.056 -0.095
0.000 -3.642 9.699
Ba Tl Pb
4 2 2
Cartesian
3.769 0.005 4.186 Ba
1.256 3.409 5.418 Ba
1.256 5.191 0.597 Ba
3.769 -1.777 9.008 Ba
1.256 1.639 2.027 Tl
3.769 1.774 7.578 Tl
3.769 3.518 2.712 Pb
1.256 -0.104 6.893 Pb
```

Calculated values
Space group: P2_1/m, No. 11
Volume in Å³ per atom: 42.8
Magnetization in μB/cell: 0.7
E_form in eV/atom: -0.486
E_tot in eV per atom: -2.966


[2]
Material: NaPu5S8
Method: DFT, PBE
State: relaxed

Structure (POSCAR):
```
NaPu5S8
1.0
-2.769 6.652 -0.624
-4.012 -4.652 -3.816
0.003 -1.963 6.961
Na Pu S
1 5 8
Cartesian
-2.696 -2.135 3.156 Na
-1.545 -1.953 -0.551 Pu
-5.942 1.208 -2.167 Pu
-4.570 0.865 1.550 Pu
-1.383 2.344 3.168 Pu
-1.501 -0.046 6.207 Pu
-3.375 -2.743 -2.750 S
-3.063 4.588 4.081 S
-3.087 3.223 1.116 S
-3.367 0.653 4.212 S
-3.743 -0.055 -0.935 S
-5.377 -1.736 2.243 S
-1.742 -0.035 1.465 S
-3.361 -3.746 0.646 S
```

Calculated values
Space group: I-4, No. 82
Volume in Å³ per atom: 20.8
Magnetization in μB/cell: 14.9
ΔE_f (raw) in eV per atom: -1.62
E_tot in eV per atom: -9.188


[3]
Material: CePa
Method: DFT, PBE
State: relaxed

Structure (POSCAR):
```
CePa
1.0
-1.134 -2.931 -1.943
-1.080 -1.652 3.123
-3.347 1.527 -0.350
Pa Ce
1 1
Cartesian
0.000 0.000 0.000 Pa
-2.780 -1.528 0.415 Ce
```

Calculated values
Space group: Pm-3m, No. 221
Volume in Å³ per atom: 25.2
Relative energy among the computed polymorphs in eV per atom: 0.2417
Magnetization in μB/cell: 0.0
E_form in eV/atom: 0.300
E_tot in eV per atom: -7.415


[4]
Material: AlAg5Br8
Method: DFT, PBE
State: relaxed

Structure (POSCAR):
```
AlAg5Br8
1.0
-2.622 2.192 -8.481
7.504 4.621 -2.439
0.018 -8.494 3.385
Al Ag Br
1 5 8
Cartesian
4.981 -0.233 -2.257 Al
0.820 -3.341 -6.045 Ag
1.803 -1.000 -4.168 Ag
-0.989 0.436 -4.497 Ag
2.441 3.407 -5.460 Ag
-1.959 -1.886 -6.403 Ag
6.036 1.848 -2.096 Br
2.799 0.029 -1.460 Br
4.976 3.047 -6.320 Br
2.672 -4.076 0.420 Br
1.233 1.006 -5.729 Br
6.258 -1.759 -1.028 Br
4.832 -1.050 -4.443 Br
0.919 -3.339 -3.442 Br
```

Calculated values
Space group: I-4, No. 82
Volume in Å³ per atom: 35.6
Magnetization in μB/cell: 0.0
ΔE_f (raw) in eV per atom: -0.54
E_tot in eV per atom: -2.786


[5]
Material: HoHf2P4
Method: DFT, PBE
State: relaxed

Structure (POSCAR):
```
HoHf2P4
1.0
-2.859 -1.099 2.162
4.078 -5.041 -0.419
5.883 3.946 9.786
Ho Hf P
2 4 8
Cartesian
3.544 1.226 8.560 Ho
3.558 -3.419 2.968 Ho
3.329 0.242 4.525 Hf
6.058 -0.903 10.803 Hf
1.045 -1.291 0.726 Hf
3.774 -2.435 7.003 Hf
0.736 -2.947 2.726 P
2.115 -2.022 5.020 P
6.367 0.753 8.802 P
4.987 -0.172 6.508 P
5.327 -2.537 9.006 P
1.775 0.344 2.523 P
-1.429 -0.549 1.081 P
1.512 1.424 5.974 P
```

Calculated values
Space group: Cmcm, No. 63
Volume in Å³ per atom: 20.1
Magnetization in μB/cell: 0.0
E_form in eV/atom: -1.017
E_tot in eV per atom: -7.606


[6]
Material: Nd6Sm3Tm2Mg
Method: DFT, PBE
State: relaxed

Structure (POSCAR):
```
Nd6Sm3Tm2Mg
1.0
-1.747 0.255 -6.024
1.389 -5.523 2.640
-11.005 0.488 4.308
Nd Sm Tm Mg
6 3 2 1
Cartesian
-9.108 -2.640 -0.735 Nd
-2.973 -3.820 -1.472 Nd
-2.255 -2.140 1.659 Nd
-8.065 -4.562 2.146 Nd
-8.389 -0.960 2.396 Nd
-3.297 -0.218 -1.222 Nd
-4.636 -4.316 3.349 Sm
-6.726 -0.465 -2.425 Sm
-5.681 -2.390 0.462 Sm
0.343 -3.595 -0.251 Tm
-0.700 -1.673 -3.133 Tm
0.000 0.000 0.000 Mg
```

Calculated values
Space group: C2/m, No. 12
Volume in Å³ per atom: 33.1
Magnetization in μB/cell: 0.0
E_form in eV/atom: 0.028
E_tot in eV per atom: -4.413


[7]
Material: Ba2BeSi
Method: DFT, PBE
State: relaxed

Structure (POSCAR):
```
Ba2BeSi
1.0
-0.278 -3.726 -1.448
-0.727 -1.833 4.855
-6.758 0.783 -0.716
Be Si Ba
1 1 2
Cartesian
-2.949 0.342 -0.313 Be
-5.987 -2.144 1.122 Si
-6.143 0.712 -0.651 Ba
-2.822 -2.511 1.458 Ba
```

Calculated values
Space group: Pmm2, No. 25
Volume in Å³ per atom: 35.9
Relative energy among the computed polymorphs in eV per atom: 0.6672
Magnetization in μB/cell: 0.0
ΔE_f (raw) in eV per atom: 0.51
E_tot in eV per atom: -2.736


[8]
Material: TbHo3Th2As6
Method: DFT, PBE
State: relaxed

Structure (POSCAR):
```
TbHo3Th2As6
1.0
4.171 0.000 0.000
0.000 8.298 0.310
-2.085 -2.378 8.741
Tb Ho Th As
1 3 2 6
Cartesian
2.085 0.000 0.000 Tb
2.085 4.149 0.155 Ho
2.085 -0.211 5.887 Ho
0.000 6.131 3.163 Ho
2.085 3.964 6.066 Th
0.000 1.957 2.985 Th
0.000 6.076 6.107 As
2.085 4.096 3.067 As
2.085 -0.155 2.944 As
2.085 -0.287 8.779 As
0.000 6.207 0.272 As
0.000 1.824 5.984 As
```

Calculated values
Space group: C2/m, No. 12
Volume in Å³ per atom: 25.5
Magnetization in μB/cell: 0.0
E_form in eV/atom: -1.494
E_tot in eV per atom: -6.585


[9]
Material: MgB2I
Method: DFT, PBE
State: relaxed

Structure (POSCAR):
```
MgB2I
1.0
5.612 0.000 0.000
0.000 5.612 0.000
2.806 2.806 5.153
I Mg B
2 2 4
Cartesian
0.000 0.000 0.000 I
5.612 2.806 2.577 I
2.806 2.806 0.000 Mg
2.806 5.612 2.577 Mg
4.213 1.403 1.288 B
1.399 4.209 1.288 B
4.209 4.205 3.865 B
7.015 7.019 3.865 B
```

Calculated values
Space group: I-42d, No. 122
Volume in Å³ per atom: 20.3
Relative energy among the computed polymorphs in eV per atom: 0.0000
Magnetization in μB/cell: 0.0
ΔE_f (raw) in eV per atom: 1.45
E_tot in eV per atom: -2.677


[10]
Material: DyErLu2
Method: DFT, PBE
State: relaxed

Structure (POSCAR):
```
DyErLu2
1.0
-3.467 0.191 0.319
-2.001 -2.632 -1.111
-1.147 -5.645 9.967
Lu Dy Er
2 1 1
Cartesian
-4.961 -6.068 6.890 Lu
-1.654 -2.017 2.285 Lu
-3.308 -4.043 4.587 Dy
0.000 0.000 0.000 Er
```

Calculated values
Space group: R-3m, No. 166
Volume in Å³ per atom: 29.8
Relative energy among the computed polymorphs in eV per atom: 0.0018
Magnetization in μB/cell: 0.0
E_form in eV/atom: 0.031
E_tot in eV per atom: -4.520


[11]
Material: Pr4Dy5Y
Method: DFT, PBE
State: relaxed

Structure (POSCAR):
```
Pr4Dy5Y
1.0
6.013 0.000 0.000
3.007 7.597 0.000
3.007 0.000 7.597
Pr Dy Y
4 5 1
Cartesian
5.735 2.463 5.137 Pr
8.742 5.137 5.134 Pr
2.729 2.460 2.463 Pr
5.735 5.134 2.460 Pr
8.705 2.867 7.594 Dy
5.698 7.594 4.729 Dy
5.698 0.003 2.867 Dy
2.692 4.729 0.003 Dy
4.147 0.000 0.000 Dy
1.290 0.000 0.000 Y
```

Calculated values
Space group: I4mm, No. 107
Volume in Å³ per atom: 34.7
Relative energy among the computed polymorphs in eV per atom: 0.1345
Magnetization in μB/cell: 0.0
E_form in eV/atom: 0.237
E_tot in eV per atom: -4.622


[12]
Material: CaPaGa5Ir2
Method: DFT, PBE
State: relaxed

Structure (POSCAR):
```
CaPaGa5Ir2
1.0
3.975 0.000 0.000
0.000 3.975 0.000
0.000 0.000 10.876
Ca Pa Ga Ir
1 1 5 2
Cartesian
0.000 0.000 5.438 Ca
0.000 0.000 0.000 Pa
0.000 1.987 3.004 Ga
1.987 0.000 3.004 Ga
0.000 1.987 7.872 Ga
1.987 0.000 7.872 Ga
1.987 1.987 5.438 Ga
1.987 1.987 1.279 Ir
1.987 1.987 9.597 Ir
```

Calculated values
Space group: P4/mmm, No. 123
Volume in Å³ per atom: 19.1
Magnetization in μB/cell: 0.0
E_form in eV/atom: -0.373
E_tot in eV per atom: -5.301


[13]
Material: Na2LiPaSe4
Method: DFT, PBE
State: relaxed

Structure (POSCAR):
```
Na2LiPaSe4
1.0
-0.095 3.386 -2.510
-6.876 0.255 0.604
2.857 4.023 5.319
Na Li Pa Se
2 1 1 4
Cartesian
1.381 3.704 1.405 Na
-2.010 2.139 2.961 Na
-3.485 1.820 -0.953 Li
0.000 0.000 0.000 Pa
-1.058 2.646 0.069 Se
-3.056 5.017 3.344 Se
0.520 3.182 4.273 Se
-4.539 1.095 1.649 Se
```

Calculated values
Space group: P2/m, No. 10
Volume in Å³ per atom: 25.1
Magnetization in μB/cell: 0.0
ΔE_f (raw) in eV per atom: -1.30
E_tot in eV per atom: -4.798


[14]
Material: TmNbN3
Method: DFT, PBE
State: relaxed

Structure (POSCAR):
```
TmNbN3
1.0
-2.733 -2.234 -1.086
3.165 -4.433 1.152
-4.468 2.241 6.638
Tm Nb N
2 2 6
Cartesian
-0.796 -1.112 1.151 Tm
-3.241 -3.313 5.554 Tm
-3.187 0.256 4.357 Nb
-0.849 -4.681 2.348 Nb
-4.391 1.070 5.714 N
0.355 -5.495 0.991 N
-2.335 0.208 2.310 N
-1.701 -4.634 4.394 N
-2.380 -1.179 5.277 N
-1.657 -3.247 1.427 N
```

Calculated values
Space group: P2_1/m, No. 11
Volume in Å³ per atom: 16.0
Magnetization in μB/cell: 2.0
ΔE_f (raw) in eV per atom: -0.91
E_tot in eV per atom: -8.816


[15]
Material: Nb4V2W
Method: DFT, PBE
State: relaxed

Structure (POSCAR):
```
Nb4V2W
1.0
6.334 0.000 0.000
3.167 4.456 0.000
3.167 0.000 4.456
Nb V W
4 2 1
Cartesian
4.750 2.228 0.000 Nb
7.917 0.000 2.228 Nb
7.917 4.456 2.228 Nb
4.750 2.228 4.456 Nb
3.167 2.228 2.228 V
6.334 2.228 2.228 V
0.000 0.000 0.000 W
```

Calculated values
Space group: I4/mmm, No. 139
Volume in Å³ per atom: 18.0
Magnetization in μB/cell: 0.0
E_form in eV/atom: 0.327
E_tot in eV per atom: -9.883


[16]
Material: K2Tl2Pd
Method: DFT, PBE
State: relaxed

Structure (POSCAR):
```
K2Tl2Pd
1.0
7.399 0.000 0.000
0.000 7.399 0.000
0.000 0.000 5.989
Tl K Pd
4 4 2
Cartesian
2.565 6.265 0.000 Tl
6.265 4.834 0.000 Tl
4.834 1.134 0.000 Tl
1.134 2.565 0.000 Tl
1.340 5.040 2.995 K
5.040 6.059 2.995 K
6.059 2.359 2.995 K
2.359 1.340 2.995 K
0.000 0.000 0.000 Pd
3.700 3.700 0.000 Pd
```

Calculated values
Space group: P4/mbm, No. 127
Volume in Å³ per atom: 32.8
Relative energy among the computed polymorphs in eV per atom: 0.0565
Magnetization in μB/cell: 0.0
E_form in eV/atom: -0.076
E_tot in eV per atom: -2.500


[17]
Material: Tb5PmEr
Method: DFT, PBE
State: relaxed

Structure (POSCAR):
```
Tb5PmEr
1.0
-1.222 -3.811 5.462
-4.645 -4.921 -0.245
4.373 -12.892 -0.117
Tb Pm Er
10 2 2
Cartesian
1.275 -12.284 0.670 Tb
-1.806 -12.313 3.363 Tb
-0.093 -5.572 2.092 Tb
-0.818 -14.413 0.579 Tb
-1.972 -2.897 1.632 Tb
0.479 -18.728 3.467 Tb
-0.675 -7.212 4.521 Tb
-1.400 -16.053 3.008 Tb
0.312 -9.312 1.737 Tb
-2.769 -9.341 4.430 Tb
1.096 -13.793 3.771 Pm
-2.590 -7.832 1.329 Pm
0.000 0.000 0.000 Er
2.186 -6.446 -0.058 Er
```

Calculated values
Space group: C2/c, No. 15
Volume in Å³ per atom: 32.4
Relative energy among the computed polymorphs in eV per atom: 0.0000
Magnetization in μB/cell: 0.0
E_form in eV/atom: 0.187
E_tot in eV per atom: -4.451


[18]
Material: BaCoGe2Ru
Method: DFT, PBE
State: relaxed

Structure (POSCAR):
```
BaCoGe2Ru
1.0
4.226 0.000 0.000
0.000 4.226 0.000
-2.113 -2.113 5.811
Ba Co Ge Ru
1 1 2 1
Cartesian
0.000 0.000 0.000 Ba
0.000 2.113 2.906 Co
2.113 2.113 1.763 Ge
0.000 0.000 4.049 Ge
2.113 0.000 2.906 Ru
```

Calculated values
Space group: I-4m2, No. 119
Volume in Å³ per atom: 20.8
Magnetization in μB/cell: 0.0
E_form in eV/atom: -0.411
E_tot in eV per atom: -5.919


[19]
Material: KHfAlSb3
Method: DFT, PBE
State: relaxed

Structure (POSCAR):
```
KHfAlSb3
1.0
-2.277 2.737 1.934
-6.229 0.132 -7.522
-1.887 -7.150 7.895
K Hf Al Sb
2 2 2 6
Cartesian
-2.446 -1.119 0.826 K
-7.948 -3.162 1.482 K
-5.001 -0.232 -3.438 Hf
-5.392 -4.048 5.746 Hf
-2.287 -3.681 4.638 Al
-8.106 -0.600 -2.331 Al
-7.426 1.249 -4.147 Sb
-2.967 -5.530 6.454 Sb
-6.163 -2.417 -1.715 Sb
-4.230 -1.864 4.023 Sb
-4.897 0.950 -0.745 Sb
-5.496 -5.231 3.053 Sb
```

Calculated values
Space group: P2_1/m, No. 11
Volume in Å³ per atom: 31.7
Magnetization in μB/cell: 0.0
ΔE_f (raw) in eV per atom: -0.32
E_tot in eV per atom: -4.847


[20]
Material: Ga4Pd2Pt9
Method: DFT, PBE
State: relaxed

Structure (POSCAR):
```
Ga4Pd2Pt9
1.0
-2.410 -3.552 0.155
4.284 -0.306 0.086
-0.245 0.829 15.213
Ga Pd Pt
4 2 9
Cartesian
1.961 -1.079 5.776 Ga
-0.333 -1.950 9.678 Ga
-0.396 -1.738 13.572 Ga
2.024 -1.291 1.881 Ga
1.865 -0.755 11.727 Pd
-0.237 -2.274 3.727 Pd
-0.079 0.268 4.915 Pt
-0.166 0.561 10.298 Pt
-0.210 0.709 13.009 Pt
-0.036 0.120 2.205 Pt
1.911 -0.911 8.870 Pt
-0.283 -2.119 6.584 Pt
-0.191 -2.428 0.903 Pt
1.820 -0.601 14.551 Pt
-0.123 0.414 7.607 Pt
```

Calculated values
Space group: P-3m1, No. 164
Volume in Å³ per atom: 16.2
Magnetization in μB/cell: 0.0
E_form in eV/atom: -0.357
E_tot in eV per atom: -5.481


[21]
Material: EuMg3Ru
Method: DFT, PBE
State: relaxed

Structure (POSCAR):
```
EuMg3Ru
1.0
5.040 0.000 0.000
0.000 5.040 0.000
0.000 0.000 5.040
Eu Ru Mg
1 1 3
Cartesian
2.520 2.520 2.520 Eu
0.000 0.000 0.000 Ru
0.000 2.520 0.000 Mg
0.000 0.000 2.520 Mg
2.520 0.000 0.000 Mg
```

Calculated values
Space group: Pm-3m, No. 221
Volume in Å³ per atom: 25.6
Magnetization in μB/cell: 7.2
E_form in eV/atom: 0.032
E_tot in eV per atom: -4.835


[22]
Material: YGaCu2Pt4
Method: DFT, PBE
State: relaxed

Structure (POSCAR):
```
YGaCu2Pt4
1.0
-1.786 1.771 3.634
1.508 -1.153 3.990
4.999 5.908 2.265
Y Ga Cu Pt
1 1 2 4
Cartesian
0.000 0.000 0.000 Y
2.360 3.262 4.945 Ga
3.592 4.951 7.414 Cu
1.129 1.574 2.475 Cu
3.983 5.080 4.857 Pt
1.710 2.843 7.516 Pt
3.011 3.681 2.373 Pt
0.737 1.445 5.033 Pt
```

Calculated values
Space group: R-3m, No. 166
Volume in Å³ per atom: 16.2
Magnetization in μB/cell: 0.0
E_form in eV/atom: -0.584
E_tot in eV per atom: -5.815


[23]
Material: NdIrPb
Method: DFT, PBE
State: relaxed

Structure (POSCAR):
```
NdIrPb
1.0
3.481 0.000 0.000
0.000 3.481 0.000
-1.741 -1.741 5.986
Pb Ir Nd
1 1 1
Cartesian
1.741 1.741 5.076 Pb
0.000 0.000 3.416 Ir
1.741 1.741 1.685 Nd
```

Calculated values
Space group: I4mm, No. 107
Volume in Å³ per atom: 24.2
Magnetization in μB/cell: 0.0
E_form in eV/atom: -0.239
E_tot in eV per atom: -6.018